The following is a DFT calculation (PBE+U) of VPHO5 after structural relaxation.

Results
Symmetry: P-1
DFT total energy (eV/cell): -102.2
Offset from the most stable computed form (eV per atom): 0.665

a b c (Å): 5.4912 5.5428 6.5581
angles (deg): 86.12 80.82 61.48
Fractional positions:
V (0.0000, 0.0000, 0.0000)
V (0.5000, 0.5000, 0.5000)
P (0.0651, 0.4586, 0.2318)
P (0.9349, 0.5414, 0.7682)
H (0.2485, 0.3405, 0.0512)
H (0.7515, 0.6595, 0.9488)
O (0.1043, 0.2264, 0.7959)
O (0.1381, 0.6733, 0.7433)
O (0.2685, 0.3711, 0.3933)
O (0.3304, 0.8292, 0.3271)
O (0.3628, 0.8058, 0.1190)
O (0.6372, 0.1942, 0.8810)
O (0.6696, 0.1708, 0.6729)
O (0.7315, 0.6289, 0.6067)
O (0.8619, 0.3267, 0.2567)
O (0.8957, 0.7736, 0.2041)


The following is a DFT calculation (PBE+U) of VPHO5 after structural relaxation.

Results
Symmetry: P-1
DFT total energy (eV/cell): -112.9
Offset from the most stable computed form (eV per atom): 0.000

a b c (Å): 5.2304 5.2505 7.3552
angles (deg): 105.94 108.45 99.40
Fractional positions:
V (0.0000, 0.0000, 0.0000)
V (0.0000, 0.0000, 0.5000)
P (0.3285, 0.6658, 0.2673)
P (0.6715, 0.3342, 0.7327)
H (0.3353, 0.9820, 0.8190)
H (0.6647, 0.0180, 0.1810)
O (0.1283, 0.6988, 0.3830)
O (0.1286, 0.9495, 0.7699)
O (0.2497, 0.3613, 0.1286)
O (0.3047, 0.8521, 0.1332)
O (0.3670, 0.2537, 0.5805)
O (0.6330, 0.7463, 0.4195)
O (0.6953, 0.1479, 0.8668)
O (0.7503, 0.6387, 0.8714)
O (0.8714, 0.0505, 0.2301)
O (0.8717, 0.3012, 0.6170)


Number 1: total magnetic moment 1.0 μB per formula unit. Number 2: total magnetic moment 1.0 μB per formula unit.